The following is a PBE calculation of Ce3Er2Th2 after structural relaxation, from Alexandria.

It has space group C2/m (No. 12), with a = 11.033 Å, b = 4.909 Å, c = 7.836 Å, α = 90.00°, β = 98.57° and γ = 90.00°. The distinct sites, in fractional coordinates, are Ce at (0.000, 0.000, 0.000), Ce at (0.146, 0.000, 0.429), Er at (0.071, 0.500, 0.715) and Th at (0.213, 0.500, 0.145).

As for the total moment: 2.87 μB per cell. As for the theoretical density: 9646 kg/m3. The value obtained for the volume is 420 Å³/cell. The energy of formation is 72 meV per atom.